Cd3PbBr at its PBEsol-relaxed geometry, computed with SCAN.

Cell lengths 5.4353, 5.4353, 5.4353 Å; angles 90.00, 90.00, 90.00 degrees
Last column: nearest neighbours and their distance in Å.
Fractional coordinates of all 5 atoms:
Cd1 0.0000 0.0000 0.5000  2 Br 2.72
Cd2 0.0000 0.5000 0.0000  2 Br 2.72
Cd3 0.5000 0.0000 0.0000  2 Br 2.72
Pb1 0.5000 0.5000 0.5000  12 Cd 3.84
Br1 0.0000 0.0000 0.0000  6 Cd 2.72

Calculated values
Space group: Pm-3m
Uncorrected formation energy in meV/atom: 522.7
Total energy in eV per atom: -36.77
D(E_F) in states/eV/f.u.: 3.81

CdPb2WBr at its PBEsol-relaxed geometry, computed with SCAN.

Cell lengths 5.4637, 5.4637, 4.8324 Å; angles 90.00, 90.00, 90.00 degrees
Last column: nearest neighbours and their distance in Å.
Fractional coordinates of all 5 atoms:
Cd1 0.0000 0.0000 0.0000  8 Pb 3.65, 4 Br 3.86
Pb1 0.0000 0.5000 0.5000  2 W 2.73
Pb2 0.5000 0.0000 0.5000  2 W 2.73
W1 0.5000 0.5000 0.5000  2 Br 2.42
Br1 0.5000 0.5000 0.0000  2 W 2.42

Calculated values
Space group: P4/mmm
Uncorrected formation energy in meV/atom: 635.6
Total energy in eV per atom: -53.59
D(E_F) in states/eV/f.u.: 2.54

CdPdSeBr2 at its PBEsol-relaxed geometry, computed with SCAN.

Cell lengths 5.2563, 5.2563, 5.2124 Å; angles 90.00, 90.00, 90.00 degrees
Last column: nearest neighbours and their distance in Å.
Fractional coordinates of all 5 atoms:
Cd1 0.0000 0.0000 0.0000  2 Se 2.61, 4 Br 2.63
Pd1 0.5000 0.5000 0.5000  8 Br 3.70, 4 Se 3.72
Se1 0.0000 0.0000 0.5000  2 Cd 2.61
Br1 0.0000 0.5000 0.0000  2 Cd 2.63
Br2 0.5000 0.0000 0.0000  2 Cd 2.63

Calculated values
Space group: P4/mmm
Uncorrected formation energy in meV/atom: 351.6
Total energy in eV per atom: -24.09
D(E_F) in states/eV/f.u.: 2.72

| no. | size of the total moment (μB per formula unit) |
| --- | --- |
| 1 | 0.00 |
| 2 | 0.00 |
| 3 | 1.92 |